Material: Na2HfMnBe
Method: DFT, PBEsol
State: optimized geometry

POSCAR file:
```
Na2HfMnBe
1.0
4.601 0.000 0.000
0.000 4.601 0.000
0.000 0.000 4.522
Na Hf Mn Be
2 1 1 1
Direct
0.000 0.500 0.000
0.500 0.000 0.000
0.000 0.000 0.500
0.500 0.500 0.500
0.500 0.500 0.000
```

Properties
**Size of the total moment**: 0.3857 μB/atom
**Total energy**: -4.134 eV/atom
**N(E_F)**: 5.91 states/eV/f.u.
**Space-group type**: P4/mmm